The following is a DFT calculation (GGA-PBE) of an optimized crystal structure of InTc2Hg.

abc: 4.148 4.148 8.320
angles: 90.00 90.00 90.00
Space group I4/mmm (No. 139)
Inequivalent atoms, fractional coordinates:
In1 0.000 0.000 0.000
Tc1 0.000 0.500 0.250
Hg1 0.000 0.000 0.500

## Properties
The formation energy from the elements is 0.63 eV/atom. The total energy comes out at -5.313 eV/atom.